No. 1
An optimized crystal structure of CsGa7, computed with GGA-PBEsol.

Computed properties:
space-group type	No. 166
M_tot	0.0	Bohr magnetons per cell
energy of formation	-0.14	eV per atom
crystal system	trigonal
VASP energy	-3.1771	eV/atom

abc: 10.269 10.269 10.269
angles: 37.49 37.49 37.49
Sites, in units of the cell vectors:
Cs  0.194  0.194  0.194
Cs  0.806  0.806  0.806
Ga  0.182  0.182  0.580
Ga  0.182  0.580  0.182
Ga  0.205  0.784  0.784
Ga  0.216  0.216  0.795
Ga  0.216  0.795  0.216
Ga  0.420  0.818  0.818
Ga  0.456  0.456  0.456
Ga  0.544  0.544  0.544
Ga  0.580  0.182  0.182
Ga  0.784  0.205  0.784
Ga  0.784  0.784  0.205
Ga  0.795  0.216  0.216
Ga  0.818  0.420  0.818
Ga  0.818  0.818  0.420

=====

No. 2
An optimized crystal structure of KSi3As3, computed with GGA-PBEsol.

Computed properties:
space-group type	No. 55
M_tot	0.0	Bohr magnetons per cell
raw formation energy	-0.242	eV/atom
crystal system	orthorhombic
VASP energy	-5.0551	eV/atom

abc: 10.044 19.022 3.665
angles: 90.00 90.00 90.00
Sites, in units of the cell vectors:
K  0.187  0.196  0.000
K  0.313  0.696  0.000
K  0.687  0.304  0.000
K  0.813  0.804  0.000
Si  0.093  0.464  0.500
Si  0.112  0.985  0.000
Si  0.176  0.866  0.000
Si  0.324  0.366  0.000
Si  0.388  0.485  0.000
Si  0.407  0.964  0.500
Si  0.593  0.036  0.500
Si  0.612  0.515  0.000
Si  0.676  0.634  0.000
Si  0.824  0.134  0.000
Si  0.888  0.015  0.000
Si  0.907  0.536  0.500
As  0.085  0.384  0.000
As  0.102  0.800  0.500
As  0.218  0.042  0.500
As  0.282  0.542  0.500
As  0.398  0.300  0.500
As  0.415  0.884  0.000
As  0.585  0.116  0.000
As  0.602  0.700  0.500
As  0.718  0.458  0.500
As  0.782  0.958  0.500
As  0.898  0.200  0.500
As  0.915  0.616  0.000

=====

No. 3
An optimized crystal structure of RbHgCl2, computed with GGA-PBEsol.

Computed properties:
space-group type	No. 122
M_tot	0.0	Bohr magnetons per cell
raw formation energy	-0.980	eV/atom
crystal system	tetragonal
VASP energy	-2.3820	eV/atom

abc: 9.024 9.024 9.024
angles: 139.47 139.47 58.66
Sites, in units of the cell vectors:
Rb  0.000  0.000  0.000
Rb  0.750  0.250  0.500
Hg  0.250  0.750  0.500
Hg  0.500  0.500  0.000
Cl  0.194  0.625  0.069
Cl  0.375  0.444  0.569
Cl  0.556  0.125  0.931
Cl  0.875  0.806  0.431

=====

No. 4
An optimized crystal structure of LiCa, computed with GGA-PBEsol.

Computed properties:
space-group type	No. 221
M_tot	0.0	Bohr magnetons per cell
energy of formation	0.01	eV per atom
crystal system	cubic
energy above the most stable polymorph in this dataset	3	meV/atom
VASP energy	-2.0361	eV/atom

abc: 3.937 3.937 3.937
angles: 90.00 90.00 90.00
Sites, in units of the cell vectors:
Li  0.000  0.000  0.000
Ca  0.500  0.500  0.500

=====

No. 5
An optimized crystal structure of Fe2NiAs, computed with GGA-PBEsol.

Computed properties:
space-group type	No. 123
M_tot	3.9	Bohr magnetons per cell
energy of formation	0.11	eV per atom
crystal system	tetragonal
VASP energy	-7.1913	eV/atom

abc: 2.823 2.823 5.731
angles: 90.00 90.00 90.00
Sites, in units of the cell vectors:
Fe  0.000  0.000  0.244
Fe  0.000  0.000  0.756
Ni  0.500  0.500  0.500
As  0.500  0.500  0.000

=====

No. 6
An optimized crystal structure of K2NaAs2, computed with GGA-PBEsol.

Computed properties:
space-group type	No. 139
M_tot	0.0	Bohr magnetons per cell
energy of formation	-0.12	eV per atom
crystal system	tetragonal
energy above the most stable polymorph in this dataset	207	meV/atom
VASP energy	-2.8974	eV/atom

abc: 7.605 7.605 7.605
angles: 142.96 142.96 53.39
Sites, in units of the cell vectors:
K  0.250  0.750  0.500
K  0.750  0.250  0.500
Na  0.000  0.000  0.000
As  0.413  0.413  0.000
As  0.587  0.587  0.000

=====

No. 7
An optimized crystal structure of Na3CrCu, computed with GGA-PBEsol.

Computed properties:
space-group type	No. 221
M_tot	5.2	Bohr magnetons per cell
energy of formation	0.93	eV per atom
crystal system	cubic
VASP energy	-2.8270	eV/atom

abc: 5.290 5.290 5.290
angles: 90.00 90.00 90.00
Sites, in units of the cell vectors:
Na  0.000  0.000  0.500
Na  0.000  0.500  0.000
Na  0.500  0.000  0.000
Cr  0.500  0.500  0.500
Cu  0.000  0.000  0.000

=====

No. 8
An optimized crystal structure of BaSn3Pd, computed with GGA-PBEsol.

Computed properties:
space-group type	No. 107
M_tot	0.0	Bohr magnetons per cell
energy of formation	-0.68	eV per atom
crystal system	tetragonal
VASP energy	-4.8535	eV/atom

abc: 6.538 6.538 6.538
angles: 136.22 136.22 63.64
Sites, in units of the cell vectors:
Ba  0.000  0.000  0.000
Sn  0.250  0.750  0.500
Sn  0.587  0.587  0.000
Sn  0.750  0.250  0.500
Pd  0.350  0.350  0.000

=====

No. 9
An optimized crystal structure of K2SbPt, computed with GGA-PBEsol.

Computed properties:
space-group type	No. 122
M_tot	0.0	Bohr magnetons per cell
raw formation energy	-0.222	eV/atom
crystal system	tetragonal
VASP energy	-3.6688	eV/atom

abc: 9.209 9.209 9.209
angles: 94.10 94.10 148.97
Sites, in units of the cell vectors:
K  0.375  0.130  0.255
K  0.870  0.125  0.245
K  0.875  0.120  0.745
K  0.880  0.625  0.755
Sb  0.250  0.750  0.500
Sb  0.500  0.500  0.000
Pt  0.000  0.000  0.000
Pt  0.750  0.250  0.500

=====

No. 10
An optimized crystal structure of LaYIr2, computed with GGA-PBEsol.

Computed properties:
space-group type	No. 139
M_tot	0.0	Bohr magnetons per cell
energy of formation	-0.60	eV per atom
crystal system	tetragonal
energy above the most stable polymorph in this dataset	18	meV/atom
VASP energy	-8.5526	eV/atom

abc: 4.852 4.852 4.852
angles: 118.19 118.19 93.17
Sites, in units of the cell vectors:
La  0.000  0.000  0.000
Y  0.500  0.500  0.000
Ir  0.250  0.750  0.500
Ir  0.750  0.250  0.500

=====

No. 11
An optimized crystal structure of EuB2S4, computed with GGA-PBEsol.

Computed properties:
space-group type	No. 14
M_tot	28.0	Bohr magnetons per cell
raw formation energy	-0.974	eV/atom
crystal system	monoclinic
VASP energy	-6.9931	eV/atom

abc: 6.322 13.895 6.037
angles: 90.00 109.86 90.00
Sites, in units of the cell vectors:
Eu  0.189  0.104  0.294
Eu  0.189  0.396  0.794
Eu  0.811  0.604  0.206
Eu  0.811  0.896  0.706
B  0.269  0.726  0.831
B  0.269  0.774  0.331
B  0.469  0.583  0.579
B  0.469  0.917  0.079
B  0.531  0.083  0.921
B  0.531  0.417  0.421
B  0.731  0.226  0.669
B  0.731  0.274  0.169
S  0.078  0.740  0.017
S  0.078  0.760  0.517
S  0.259  0.005  0.859
S  0.259  0.495  0.359
S  0.373  0.596  0.845
S  0.373  0.904  0.345
S  0.465  0.198  0.048
S  0.465  0.302  0.548
S  0.535  0.698  0.452
S  0.535  0.802  0.952
S  0.627  0.096  0.655
S  0.627  0.404  0.155
S  0.741  0.505  0.641
S  0.741  0.995  0.141
S  0.922  0.240  0.483
S  0.922  0.260  0.983

=====

No. 12
An optimized crystal structure of FeMoPt2, computed with GGA-PBEsol.

Computed properties:
space-group type	No. 139
M_tot	2.1	Bohr magnetons per cell
energy of formation	-0.24	eV per atom
crystal system	tetragonal
VASP energy	-8.9018	eV/atom

abc: 4.753 4.753 4.753
angles: 133.26 133.26 68.25
Sites, in units of the cell vectors:
Fe  0.000  0.000  0.000
Mo  0.500  0.500  0.000
Pt  0.250  0.750  0.500
Pt  0.750  0.250  0.500